# CrFePd6 (PBE, relaxed)
data_CrFePd6
_symmetry_space_group_name_H-M 'P 4/m m m'
_symmetry_Int_Tables_number 123
_symmetry_space_group_name_Hall '-P 4 2'
_cell_length_a 3.898
_cell_length_b 3.898
_cell_length_c 7.803
_cell_angle_alpha 90.00
_cell_angle_beta 90.00
_cell_angle_gamma 90.00
loop_
_atom_site_label
_atom_site_fract_x
_atom_site_fract_y
_atom_site_fract_z
_atom_site_occupancy
Cr1 0.000 0.000 0.000 1
Fe1 0.000 0.000 0.500 1
Pd1 0.000 0.500 0.252 1
Pd2 0.500 0.500 0.000 1
Pd3 0.500 0.500 0.500 1
# DFT formation energy = -0.09 eV/atom
# Crystal system = tetragonal